La3HoSi4: relaxed, PBE.

Geometry as CIF:
```
data_La3HoSi4
_space_group_name_H-M_alt 'I m m m'
_space_group_IT_number 71
_space_group_name_Hall '-I 2 2'
_cell_length_a 4.299
_cell_length_b 6.324
_cell_length_c 16.403
_cell_angle_alpha 90.00
_cell_angle_beta 90.00
_cell_angle_gamma 90.00
loop_
_atom_site_label
_atom_site_fract_x
_atom_site_fract_y
_atom_site_fract_z
_atom_site_occupancy
La1 0.000 0.000 0.000 1
La2 0.000 0.500 0.195 1
Ho1 0.000 0.000 0.500 1
Si1 0.000 0.315 0.372 1
```

Properties
formation energy without anion corrections = -4.521 eV per formula unit
DFT total energy = -91.15 eV for the cell shown